1.
DFT (PBE) results for a geometry-optimized Y12GaRu6 structure.

Summary:
- Spin magnetization: 0.00 Bohr magnetons per cell
- Raw total energy: -282.9 eV per cell

a b c (Å): 9.8358 9.8358 9.8358
angles (deg): 90.00 90.00 90.00
Last column: nearest neighbours and their distance in Å.
Space group Im-3 (No. 204)
Asymmetric unit:
1 Y 0.0000 0.1935 0.2941  1 Ru 2.71
2 Ga 0.0000 0.0000 0.0000  12 Y 3.46
3 Ru 0.0000 0.3762 0.5000  1 Ru 2.44, 2 Y 2.71


2.
DFT (PBE) results for a geometry-optimized Y3Ga3Ru2 structure.

Summary:
- Spin magnetization: 0.00 Bohr magnetons per cell
- Raw total energy: -207.1 eV per cell

a b c (Å): 4.4290 10.2200 14.5462
angles (deg): 90.00 90.00 90.00
Last column: nearest neighbours and their distance in Å.
Space group Cmcm (No. 63)
Asymmetric unit:
1 Y 0.0000 0.0888 0.1080  4 Ru 3.00-3.13, 7 Ga 3.15-3.18
2 Y 0.0000 0.3806 0.2500  5 Ga 2.98-3.11
3 Ga 0.0000 0.3150 0.7500  2 Ru 2.60
4 Ga 0.0000 0.3851 0.0446  3 Ru 2.51-2.56, 1 Ga 2.68
5 Ru 0.0000 0.2162 0.5853  4 Ga 2.51-2.60


3.
DFT (PBE) results for a geometry-optimized Y3Ga2Ru structure.

Summary:
- Spin magnetization: 0.00 Bohr magnetons per cell
- Raw total energy: -151.9 eV per cell

a b c (Å): 11.8922 4.2854 11.1613
angles (deg): 90.00 90.00 90.00
Last column: nearest neighbours and their distance in Å.
Space group Pnma (No. 62)
Asymmetric unit:
1 Y 0.0516 0.2500 0.1210  1 Ru 2.91, 5 Ga 3.00-3.23
2 Y 0.1184 0.7500 0.5569  3 Ru 2.94-2.98, 5 Ga 3.06-3.15
3 Y 0.2298 0.2500 0.7974  2 Ru 2.91, 4 Ga 3.08-3.13
4 Ga 0.0110 0.7500 0.3045  2 Ru 2.61
5 Ga 0.1953 0.7500 0.9988  1 Ru 2.62
6 Ru 0.1196 0.2500 0.3718  3 Ga 2.61-2.62, 3 Y 2.91


4.
DFT (PBE) results for a geometry-optimized Y4GaRu structure.

Summary:
- Spin magnetization: 0.00 Bohr magnetons per cell
- Raw total energy: -161.9 eV per cell

a b c (Å): 8.9409 13.2626 6.2281
angles (deg): 90.00 120.13 90.00
Last column: nearest neighbours and their distance in Å.
Space group C2/c (No. 15)
Asymmetric unit:
1 Y 0.1204 0.1770 0.0883  2 Ru 2.96-2.97, 2 Ga 3.07-3.12
2 Y 0.2111 0.4345 0.3026  2 Ru 2.82-2.89, 2 Ga 3.11-3.15
3 Ga 0.0000 0.3678 0.7500  8 Y 3.07-3.15
4 Ru 0.0000 0.9999 0.2500  8 Y 2.82-2.97, 2 Ru 3.11


5.
DFT (PBE) results for a geometry-optimized YGa3Ru3 structure.

Summary:
- Spin magnetization: 0.00 Bohr magnetons per cell
- Raw total energy: -82.2 eV per cell

a b c (Å): 6.6817 6.6817 6.6817
angles (deg): 90.00 90.00 90.00
Last column: nearest neighbours and their distance in Å.
Space group Pm-3n (No. 223)
Asymmetric unit:
1 Y 0.0000 0.0000 0.0000  12 Ru 3.74, 12 Ga 3.74
2 Ga 0.0000 0.2500 0.5000  4 Ru 2.36
3 Ru 0.0000 0.5000 0.2500  4 Ga 2.36


6.
DFT (PBE) results for a geometry-optimized Y2Ga4Ru3 structure.

Summary:
- Spin magnetization: 4.08 Bohr magnetons per cell
- Raw total energy: -227.2 eV per cell

a b c (Å): 5.3724 9.5255 12.8369
angles (deg): 90.00 90.00 90.00
Last column: nearest neighbours and their distance in Å.
Space group Fmmm (No. 69)
Asymmetric unit:
1 Y 0.0000 0.0000 0.1271  8 Ga 3.14-3.18, 6 Ru 3.14-3.18, 1 Y 3.26
2 Ga 0.0000 0.1693 0.3367  3 Ru 2.61-2.64, 1 Ga 2.71
3 Ru 0.0000 0.0000 0.5000  4 Ga 2.64, 4 Ru 2.73
4 Ru 0.2500 0.2500 0.0000  4 Ga 2.61, 4 Ru 2.69-2.73


7.
DFT (PBE) results for a geometry-optimized Y3Ga4Ru4 structure.

Summary:
- Spin magnetization: 0.00 Bohr magnetons per cell
- Raw total energy: -73.4 eV per cell

a b c (Å): 3.5902 4.3500 13.5696
angles (deg): 80.81 83.76 89.98
Last column: nearest neighbours and their distance in Å.
Space group P-1 (No. 2)
Asymmetric unit:
1 Y 0.0000 0.0000 0.0000  4 Ru 3.09-3.10, 8 Ga 3.12
2 Y 0.1159 0.6447 0.7097  5 Ru 2.98-3.12, 6 Ga 3.03-3.11
3 Ga 0.3602 0.8109 0.3798  5 Ru 2.52-2.64
4 Ga 0.4600 0.4499 0.1004  2 Ru 2.48, 1 Ga 2.67
5 Ru 0.1953 0.2568 0.4876  4 Ga 2.52-2.64, 2 Ru 2.58-2.59
6 Ru 0.4254 0.9056 0.1893  3 Ga 2.48-2.54


8.
DFT (PBE) results for a geometry-optimized Y2Ga2Ru structure.

Summary:
- Spin magnetization: 0.00 Bohr magnetons per cell
- Offset from the most stable computed form: 119 meV per atom

a b c (Å): 7.0041 7.0041 4.2206
angles (deg): 90.00 90.00 90.00
Last column: nearest neighbours and their distance in Å.
Space group P4/mbm (No. 127)
Asymmetric unit:
1 Y 0.1783 0.3217 0.0000  6 Ga 2.84-3.04
2 Ga 0.1300 0.6300 0.5000  1 Ga 2.57, 2 Ru 2.75, 2 Y 2.84
3 Ru 0.0000 0.0000 0.5000  4 Ga 2.75


9.
DFT (PBE) results for a geometry-optimized Y3Ga3Ru2 structure.

Summary:
- Spin magnetization: 0.00 Bohr magnetons per cell
- Raw total energy: -206.6 eV per cell

a b c (Å): 7.6048 15.2536 5.7636
angles (deg): 90.00 90.00 90.00
Last column: nearest neighbours and their distance in Å.
Space group Pnma (No. 62)
Asymmetric unit:
1 Y 0.0370 0.1081 0.1118  3 Ru 2.89-3.23, 5 Ga 3.09-3.18
2 Y 0.1714 0.2500 0.6309  4 Ru 2.99-3.15, 5 Ga 2.99-3.27
3 Ga 0.1681 0.0361 0.5942  3 Ru 2.48-2.56
4 Ga 0.1726 0.7500 0.6217  2 Ru 2.62
5 Ru 0.1288 0.6079 0.3729  4 Ga 2.48-2.62


10.
DFT (PBE) results for a geometry-optimized YGaRu2 structure.

Summary:
- Spin magnetization: 0.00 Bohr magnetons per cell
- Raw total energy: -110.6 eV per cell

a b c (Å): 4.2365 4.2365 17.8323
angles (deg): 90.00 90.00 90.00
Last column: nearest neighbours and their distance in Å.
Space group I-42d (No. 122)
Asymmetric unit:
1 Y 0.0000 0.0000 0.0000  4 Ru 2.88, 4 Ga 3.00
2 Ga 0.0000 0.0000 0.5000  4 Ru 2.55
3 Ru 0.1500 0.2500 0.6250  2 Ru 2.47, 2 Ga 2.55


11.
DFT (PBE) results for a geometry-optimized Y8Ga2Ru structure.

Summary:
- Spin magnetization: 0.00 Bohr magnetons per cell
- Raw total energy: -140.8 eV per cell

a b c (Å): 17.8833 5.0484 6.7089
angles (deg): 90.00 103.35 90.00
Last column: nearest neighbours and their distance in Å.
Space group C2/m (No. 12)
Asymmetric unit:
1 Y 0.0247 0.0000 0.2830  2 Ru 3.00, 1 Ga 3.05, 1 Y 3.23
2 Y 0.0892 0.5000 0.9423  1 Ru 3.03, 2 Y 3.37
3 Y 0.1541 0.5000 0.4628  1 Ru 2.82, 3 Ga 3.02-3.08
4 Y 0.2041 0.0000 0.8088  3 Ga 2.96-3.21
5 Ga 0.1907 0.0000 0.2401  7 Y 2.96-3.21
6 Ru 0.0000 0.5000 0.5000  8 Y 2.82-3.03


12.
DFT (PBE) results for a geometry-optimized Y4Ga3Ru structure.

Summary:
- Spin magnetization: 0.00 Bohr magnetons per cell
- Raw total energy: -48.8 eV per cell

a b c (Å): 4.1643 4.1990 10.7004
angles (deg): 90.00 90.00 90.00
Last column: nearest neighbours and their distance in Å.
Space group Pmm2 (No. 25)
Asymmetric unit:
1 Y 0.0000 0.0000 0.0000  1 Ru 2.95, 6 Ga 3.08-3.22
2 Y 0.0000 0.5000 0.4811  5 Ga 3.03-3.11, 2 Ru 3.04
3 Y 0.5000 0.0000 0.7043  7 Ga 3.04-3.12
4 Y 0.5000 0.5000 0.2094  4 Ru 3.04, 3 Ga 3.06-3.09
5 Ga 0.0000 0.5000 0.7718  2 Ga 2.62
6 Ga 0.5000 0.0000 0.4177  2 Ru 2.58
7 Ga 0.5000 0.5000 0.9206  2 Ga 2.62
8 Ru 0.0000 0.0000 0.2761  2 Ga 2.58


13.
DFT (PBE) results for a geometry-optimized YGaRu2 structure.

Summary:
- Spin magnetization: 0.00 Bohr magnetons per cell
- Raw total energy: -29.0 eV per cell

a b c (Å): 3.2649 3.2649 6.3773
angles (deg): 90.00 90.00 90.00
Last column: nearest neighbours and their distance in Å.
Space group P4/mmm (No. 123)
Asymmetric unit:
1 Y 0.0000 0.0000 0.0000  8 Ru 2.95, 2 Ga 3.19, 4 Y 3.26
2 Ga 0.0000 0.0000 0.5000  8 Ru 2.68
3 Ru 0.5000 0.5000 0.2880  4 Ga 2.68, 1 Ru 2.70, 4 Y 2.95


14.
DFT (PBE) results for a geometry-optimized Y3Ga3Ru structure.

Summary:
- Spin magnetization: 0.00 Bohr magnetons per cell
- Raw total energy: -168.3 eV per cell

a b c (Å): 10.9305 4.2177 14.3103
angles (deg): 90.00 109.84 90.00
Last column: nearest neighbours and their distance in Å.
Space group C2/m (No. 12)
Asymmetric unit:
1 Y 0.0307 0.0000 0.3815  6 Ga 3.01-3.22, 4 Ru 3.03-3.31
2 Y 0.1080 0.0000 0.9236  7 Ga 3.03-3.17
3 Y 0.2422 0.0000 0.2356  6 Ga 3.00-3.22, 2 Ru 3.20
4 Ga 0.0360 0.5000 0.2330  1 Ga 2.63, 1 Ru 2.67
5 Ga 0.1088 0.5000 0.0759  2 Ga 2.62-2.63
6 Ga 0.1367 0.5000 0.5420  3 Ru 2.49-2.59
7 Ru 0.2378 0.5000 0.4022  4 Ga 2.49-2.67


15.
DFT (PBE) results for a geometry-optimized YGaRu2 structure.

Summary:
- Spin magnetization: 1.05 Bohr magnetons per cell
- Raw total energy: -108.4 eV per cell

a b c (Å): 5.5250 6.6010 9.1996
angles (deg): 90.00 90.00 90.00
Last column: nearest neighbours and their distance in Å.
Space group Pmma (No. 51)
Asymmetric unit:
1 Y 0.2500 0.0000 0.0960  3 Ga 3.10-3.18, 2 Y 3.28
2 Y 0.2500 0.5000 0.2781  4 Ru 2.78-2.91, 2 Ga 2.82
3 Ga 0.2500 0.0000 0.7499  4 Ru 2.68-2.78
4 Ga 0.2500 0.5000 0.7852  4 Ru 2.41-2.50
5 Ru 0.0000 0.0000 0.5000  6 Ru 2.53-2.76, 2 Ga 2.68
6 Ru 0.0000 0.5000 0.0000  2 Ga 2.41
7 Ru 0.2500 0.3136 0.5490  3 Ru 2.46-2.53, 1 Ga 2.50


16.
DFT (PBE) results for a geometry-optimized Y2Ga5Ru structure.

Summary:
- Spin magnetization: 0.00 Bohr magnetons per cell
- Raw total energy: -81.7 eV per cell

a b c (Å): 6.1472 6.1472 8.4982
angles (deg): 90.00 90.00 90.00
Last column: nearest neighbours and their distance in Å.
Space group I4mm (No. 107)
Asymmetric unit:
1 Y 0.0000 0.5000 0.0000  10 Ga 3.04-3.07
2 Ga 0.0000 0.0000 0.0105  1 Ru 2.43
3 Ga 0.2132 0.2132 0.2477  1 Ru 2.50, 3 Ga 2.62-2.74
4 Ru 0.0000 0.0000 0.7244  5 Ga 2.43-2.50


17.
DFT (PBE) results for a geometry-optimized YGaRu2 structure.

Summary:
- Spin magnetization: 0.00 Bohr magnetons per cell
- Raw total energy: -29.0 eV per cell

a b c (Å): 4.4471 4.4471 3.3917
angles (deg): 90.00 90.00 90.00
Last column: nearest neighbours and their distance in Å.
Space group P4/mmm (No. 123)
Asymmetric unit:
1 Y 0.0000 0.0000 0.0000  8 Ru 2.80
2 Ga 0.5000 0.5000 0.0000  8 Ru 2.80
3 Ru 0.0000 0.5000 0.5000  4 Y 2.80, 4 Ga 2.80


18.
DFT (PBE) results for a geometry-optimized Y3Ga7Ru2 structure.

Summary:
- Spin magnetization: 0.00 Bohr magnetons per cell
- Raw total energy: -126.3 eV per cell

a b c (Å): 4.5953 4.5953 24.2146
angles (deg): 90.00 90.00 90.00
Last column: nearest neighbours and their distance in Å.
Space group I4/mmm (No. 139)
Asymmetric unit:
1 Y 0.0000 0.0000 0.0000  12 Ga 3.05-3.25
2 Y 0.0000 0.0000 0.1684  5 Ga 2.90-3.09
3 Ga 0.0000 0.0000 0.2882  1 Ru 2.41
4 Ga 0.0000 0.0000 0.5000  2 Ru 2.72
5 Ga 0.0000 0.5000 0.0831  2 Ru 2.40
6 Ru 0.0000 0.0000 0.3878  5 Ga 2.40-2.41


19.
DFT (PBE) results for a geometry-optimized Y6Ga3Ru structure.

Summary:
- Spin magnetization: 0.00 Bohr magnetons per cell
- Raw total energy: -122.5 eV per cell

a b c (Å): 8.6949 11.4265 5.0421
angles (deg): 90.00 90.00 90.00
Last column: nearest neighbours and their distance in Å.
Space group Pnnm (No. 58)
Asymmetric unit:
1 Y 0.0023 0.2455 0.0000  1 Ru 2.80, 4 Ga 2.90-2.91
2 Y 0.1584 0.0858 0.5000  2 Ru 3.04, 1 Ga 3.13, 3 Y 3.38-3.39
3 Y 0.1785 0.4192 0.5000  1 Ru 2.94, 2 Ga 3.10
4 Ga 0.0000 0.5000 0.0000  8 Y 2.91-3.13
5 Ga 0.1641 0.7446 0.5000  3 Y 2.90-2.91
6 Ru 0.0000 0.0000 0.0000  8 Y 2.80-3.04